Compound: KTlPdBr4
Source: OQMD via LeMat-Bulk
Functional: GGA-PBE
Structure: optimized geometry

The mass density is 4.4 g cm⁻³. The total energy is -3.097 eV per atom.

Lattice parameters (Å, degrees): 4.4217 7.4963 7.5389 90.00 90.00 90.00
Last column: nearest neighbours and their distance in Å.
Space group Pmmm (No. 47)
Symmetry-distinct sites (fractional):
1 K 0.0000 0.0000 0.0000 (multiplicity 1)  8 Br 3.46
2 Tl 0.0000 0.5000 0.5000 (multiplicity 1)  8 Br 3.47
3 Pd 0.5000 0.5000 0.0000 (multiplicity 1)  4 Br 2.47
4 Br 0.5000 0.2665 0.2320 (multiplicity 4)  1 Pd 2.47